# 1
Computed, not measured: a geometry-optimized Pr3Zn4 structure at the PBE-GGA level of DFT.

Values from the calculation:
Magnetic moment: 0.00 μB per formula unit
Calculated formation energy: -0.0522 eV/atom
Uncorrected energy: -2.82 eV/atom
Polymorph energy (0 for the lowest one): 127 meV per atom
SG: P6_3/m (176)

Cell lengths 8.717, 8.717, 5.179 Å; angles 90.00, 90.00, 120.00 degrees
Atoms (fractional coordinates):
Pr1 0.085 0.792 0.250
Pr2 0.208 0.294 0.250
Pr3 0.294 0.085 0.750
Pr4 0.706 0.915 0.250
Pr5 0.792 0.706 0.750
Pr6 0.915 0.208 0.750
Zn1 0.128 0.620 0.750
Zn2 0.333 0.667 0.250
Zn3 0.380 0.509 0.750
Zn4 0.491 0.872 0.750
Zn5 0.509 0.128 0.250
Zn6 0.620 0.491 0.250
Zn7 0.667 0.333 0.750
Zn8 0.872 0.380 0.250



# 2
Computed, not measured: a geometry-optimized FeCoReSb structure at the PBE-GGA level of DFT.

Values from the calculation:
Magnetic moment: 4.32 μB per formula unit
Uncorrected energy: -7.66 eV/atom
Polymorph energy (0 for the lowest one): 0 meV per atom
SG: F-43m (216)

Cell lengths 4.337, 4.337, 4.337 Å; angles 60.00, 60.00, 60.00 degrees
Atoms (fractional coordinates):
Fe1 0.000 0.000 0.000
Co1 0.750 0.750 0.750
Re1 0.250 0.250 0.250
Sb1 0.500 0.500 0.500



# 3
Computed, not measured: a geometry-optimized RbYNb structure at the PBE-GGA level of DFT.

Values from the calculation:
Magnetic moment: 3.38 μB per formula unit
Uncorrected energy: -3.66 eV/atom
Polymorph energy (0 for the lowest one): 512 meV per atom
SG: F-43m (216)

Cell lengths 5.323, 5.323, 5.323 Å; angles 60.00, 60.00, 60.00 degrees
Atoms (fractional coordinates):
Rb1 0.000 0.000 0.000
Y1 0.250 0.250 0.250
Nb1 0.750 0.750 0.750



# 4
Computed, not measured: a geometry-optimized TbTmCu3 structure at the PBE-GGA level of DFT.

Values from the calculation:
Magnetic moment: 0.01 μB per formula unit
Calculated formation energy: 1.1460 eV/atom
Uncorrected energy: -2.91 eV/atom
SG: P6_3/mmc (194)

Cell lengths 8.347, 8.347, 6.472 Å; angles 90.00, 90.00, 120.00 degrees
Atoms (fractional coordinates):
Tb1 0.000 0.000 0.000
Tb2 0.000 0.000 0.500
Tm1 0.333 0.667 0.250
Tm2 0.667 0.333 0.750
Cu1 0.153 0.306 0.250
Cu2 0.153 0.847 0.250
Cu3 0.306 0.153 0.750
Cu4 0.694 0.847 0.250
Cu5 0.847 0.153 0.750
Cu6 0.847 0.694 0.750



# 5
Computed, not measured: a geometry-optimized PuAs2 structure at the PBE-GGA level of DFT.

Values from the calculation:
Magnetic moment: 4.98 μB per formula unit
Uncorrected energy: -8.38 eV/atom
SG: C2/m (12)

Cell lengths 5.225, 5.225, 7.491 Å; angles 107.09, 107.09, 47.00 degrees
Atoms (fractional coordinates):
Pu1 0.166 0.166 0.208
Pu2 0.834 0.834 0.792
As1 0.129 0.129 0.586
As2 0.440 0.440 0.126
As3 0.560 0.560 0.874
As4 0.871 0.871 0.414



# 6
Computed, not measured: a geometry-optimized NaGdGa4Pt2 structure at the PBE-GGA level of DFT.

Values from the calculation:
Magnetic moment: 0.01 μB per formula unit
Uncorrected energy: -4.46 eV/atom
SG: Amm2 (38)

Cell lengths 6.840, 5.499, 5.499 Å; angles 46.31, 90.00, 90.00 degrees
Atoms (fractional coordinates):
Na1 0.000 0.000 0.000
Gd1 0.500 0.843 0.843
Ga1 0.193 0.285 0.285
Ga2 0.296 0.556 0.556
Ga3 0.704 0.556 0.556
Ga4 0.807 0.285 0.285
Pt1 0.000 0.718 0.718
Pt2 0.500 0.128 0.128



# 7
Computed, not measured: a geometry-optimized InAg8 structure at the PBE-GGA level of DFT.

Values from the calculation:
Uncorrected energy: -2.74 eV/atom
SG: C2/m (12)

Cell lengths 4.977, 4.977, 27.495 Å; angles 90.40, 90.40, 46.98 degrees
Atoms (fractional coordinates):
In1 0.051 0.051 0.196
In2 0.949 0.949 0.804
Ag1 0.051 0.051 0.553
Ag2 0.149 0.149 0.658
Ag3 0.153 0.153 0.307
Ag4 0.248 0.248 0.766
Ag5 0.250 0.250 0.412
Ag6 0.351 0.351 0.518
Ag7 0.450 0.450 0.623
Ag8 0.451 0.451 0.271
Ag9 0.549 0.549 0.729
Ag10 0.550 0.550 0.377
Ag11 0.649 0.649 0.482
Ag12 0.750 0.750 0.588
Ag13 0.752 0.752 0.234
Ag14 0.847 0.847 0.693
Ag15 0.851 0.851 0.342
Ag16 0.949 0.949 0.447



# 8
Computed, not measured: a geometry-optimized YFeNiBi structure at the PBE-GGA level of DFT.

Values from the calculation:
Magnetic moment: 2.73 μB per formula unit
Uncorrected energy: -5.95 eV/atom
Polymorph energy (0 for the lowest one): 165 meV per atom
SG: F-43m (216)

Cell lengths 4.814, 4.814, 4.814 Å; angles 60.00, 60.00, 60.00 degrees
Atoms (fractional coordinates):
Y1 0.000 0.000 0.000
Fe1 0.500 0.500 0.500
Ni1 0.750 0.750 0.750
Bi1 0.250 0.250 0.250



# 9
Computed, not measured: a geometry-optimized Ho2TmGa3AgPd2 structure at the PBE-GGA level of DFT.

Values from the calculation:
Magnetic moment: 0.02 μB per formula unit
Uncorrected energy: -4.74 eV/atom
SG: Amm2 (38)

Cell lengths 3.667, 7.523, 7.523 Å; angles 119.91, 90.00, 90.00 degrees
Atoms (fractional coordinates):
Ho1 0.000 0.204 0.796
Ho2 0.000 0.796 0.204
Tm1 0.000 0.611 0.611
Ga1 0.500 0.204 0.475
Ga2 0.500 0.475 0.204
Ga3 0.500 0.932 0.932
Ag1 0.000 0.205 0.205
Pd1 0.500 0.538 0.869
Pd2 0.500 0.869 0.538



# 10
Computed, not measured: a geometry-optimized NiSe2I6 structure at the PBE-GGA level of DFT.

Values from the calculation:
Magnetic moment: 0.00 μB per formula unit
Uncorrected energy: -2.44 eV/atom
SG: P-1 (2)

Cell lengths 5.044, 7.482, 10.274 Å; angles 106.93, 95.12, 96.24 degrees
Atoms (fractional coordinates):
Ni1 0.000 0.000 0.000
Se1 0.299 0.202 0.181
Se2 0.701 0.798 0.819
I1 0.061 0.506 0.209
I2 0.257 0.153 0.422
I3 0.318 0.142 0.873
I4 0.682 0.858 0.127
I5 0.743 0.847 0.578
I6 0.939 0.494 0.791



# 11
Computed, not measured: a geometry-optimized PmB2 structure at the PBE-GGA level of DFT.

Values from the calculation:
Magnetic moment: 0.00 μB per formula unit
Uncorrected energy: -5.36 eV/atom
SG: Fd-3m (227)

Cell lengths 4.770, 4.770, 4.770 Å; angles 60.00, 60.00, 60.00 degrees
Atoms (fractional coordinates):
Pm1 0.125 0.125 0.125
Pm2 0.875 0.875 0.875
B1 0.000 0.500 0.500
B2 0.500 0.000 0.500
B3 0.500 0.500 0.000
B4 0.500 0.500 0.500



# 12
Computed, not measured: a geometry-optimized TbNdSi2Mo2C structure at the PBE-GGA level of DFT.

Values from the calculation:
Magnetic moment: 0.00 μB per formula unit
Uncorrected energy: -7.87 eV/atom
SG: Cm (8)

Cell lengths 5.928, 5.928, 7.265 Å; angles 123.60, 123.60, 38.17 degrees
Atoms (fractional coordinates):
Tb1 0.000 0.000 0.000
Nd1 0.849 0.849 0.404
Si1 0.293 0.293 0.034
Si2 0.559 0.559 0.372
Mo1 0.221 0.221 0.624
Mo2 0.632 0.632 0.787
C1 0.428 0.428 0.712



# 13
Computed, not measured: a geometry-optimized Mg3Sc3Hg2Pt structure at the PBE-GGA level of DFT.

Values from the calculation:
Magnetic moment: 0.18 μB per formula unit
Uncorrected energy: -3.87 eV/atom
SG: P-62m (189)

Cell lengths 7.331, 7.331, 4.021 Å; angles 90.00, 90.00, 120.00 degrees
Atoms (fractional coordinates):
Mg1 0.000 0.245 0.000
Mg2 0.245 0.000 0.000
Mg3 0.755 0.755 0.000
Sc1 0.000 0.605 0.500
Sc2 0.395 0.395 0.500
Sc3 0.605 0.000 0.500
Hg1 0.333 0.667 0.000
Hg2 0.667 0.333 0.000
Pt1 0.000 0.000 0.500



# 14
Computed, not measured: a geometry-optimized BaLiLuTe3 structure at the PBE-GGA level of DFT.

Values from the calculation:
Magnetic moment: 0.00 μB per formula unit
Uncorrected energy: -4.39 eV/atom
SG: P2_1/m (11)

Cell lengths 9.243, 4.502, 9.984 Å; angles 90.00, 106.12, 90.00 degrees
Atoms (fractional coordinates):
Ba1 0.202 0.250 0.251
Ba2 0.798 0.750 0.749
Li1 0.085 0.250 0.592
Li2 0.915 0.750 0.408
Lu1 0.324 0.750 0.844
Lu2 0.676 0.250 0.156
Te1 0.109 0.250 0.873
Te2 0.226 0.750 0.530
Te3 0.452 0.750 0.161
Te4 0.548 0.250 0.839
Te5 0.774 0.250 0.470
Te6 0.891 0.750 0.127



# 15
Computed, not measured: a geometry-optimized TlGaIr structure at the PBE-GGA level of DFT.

Values from the calculation:
Magnetic moment: 0.00 μB per formula unit
Uncorrected energy: -4.34 eV/atom
Polymorph energy (0 for the lowest one): 0 meV per atom
SG: F-43m (216)

Cell lengths 4.387, 4.387, 4.387 Å; angles 60.00, 60.00, 60.00 degrees
Atoms (fractional coordinates):
Tl1 0.000 0.000 0.000
Ga1 0.750 0.750 0.750
Ir1 0.500 0.500 0.500



# 16
Computed, not measured: a geometry-optimized Zr2AlZnNi4 structure at the PBE-GGA level of DFT.

Values from the calculation:
Magnetic moment: 0.00 μB per formula unit
Uncorrected energy: -6.07 eV/atom
SG: P-3m1 (164)

Cell lengths 4.106, 4.106, 8.030 Å; angles 90.00, 90.00, 120.00 degrees
Atoms (fractional coordinates):
Zr1 0.333 0.667 0.251
Zr2 0.667 0.333 0.749
Al1 0.000 0.000 0.000
Zn1 0.000 0.000 0.500
Ni1 0.333 0.667 0.587
Ni2 0.333 0.667 0.915
Ni3 0.667 0.333 0.085
Ni4 0.667 0.333 0.413



# 17
Computed, not measured: a geometry-optimized NbTcNO structure at the PBE-GGA level of DFT.

Values from the calculation:
Magnetic moment: 0.01 μB per formula unit
Uncorrected energy: -9.00 eV/atom
Polymorph energy (0 for the lowest one): 310 meV per atom
SG: P4/nmm (129)

Cell lengths 4.261, 4.261, 4.632 Å; angles 90.00, 90.00, 90.00 degrees
Atoms (fractional coordinates):
Nb1 0.250 0.750 0.000
Nb2 0.750 0.250 0.000
Tc1 0.250 0.250 0.420
Tc2 0.750 0.750 0.580
N1 0.250 0.250 0.880
N2 0.750 0.750 0.120
O1 0.250 0.750 0.500
O2 0.750 0.250 0.500



# 18
Computed, not measured: a geometry-optimized CsNaNpS3 structure at the PBE-GGA level of DFT.

Values from the calculation:
Magnetic moment: 3.00 μB per formula unit
Uncorrected energy: -5.80 eV/atom
SG: Cmcm (63)

Cell lengths 7.897, 7.897, 10.813 Å; angles 90.00, 90.00, 149.14 degrees
Atoms (fractional coordinates):
Cs1 0.228 0.772 0.750
Cs2 0.772 0.228 0.250
Na1 0.057 0.943 0.250
Na2 0.943 0.057 0.750
Np1 0.500 0.500 0.000
Np2 0.500 0.500 0.500
S1 0.112 0.888 0.023
S2 0.112 0.888 0.477
S3 0.457 0.543 0.250
S4 0.543 0.457 0.750
S5 0.888 0.112 0.523
S6 0.888 0.112 0.977



# 19
Computed, not measured: a geometry-optimized TbErZn2As2O2 structure at the PBE-GGA level of DFT.

Values from the calculation:
Magnetic moment: 0.00 μB per formula unit
Uncorrected energy: -5.70 eV/atom
SG: P4mm (99)

Cell lengths 3.944, 3.944, 8.893 Å; angles 90.00, 90.00, 90.00 degrees
Atoms (fractional coordinates):
Tb1 0.000 0.000 0.000
Er1 0.500 0.500 0.755
Zn1 0.000 0.500 0.376
Zn2 0.500 0.000 0.376
As1 0.000 0.000 0.560
As2 0.500 0.500 0.192
O1 0.000 0.500 0.874
O2 0.500 0.000 0.874



# 20
Computed, not measured: a geometry-optimized Zr4Co3Mo2N3 structure at the PBE-GGA level of DFT.

Values from the calculation:
Magnetic moment: 1.94 μB per formula unit
Uncorrected energy: -8.91 eV/atom
SG: C2/c (15)

Cell lengths 5.391, 5.391, 13.624 Å; angles 101.68, 101.68, 59.39 degrees
Atoms (fractional coordinates):
Zr1 0.025 0.203 0.095
Zr2 0.140 0.303 0.405
Zr3 0.203 0.025 0.595
Zr4 0.303 0.140 0.905
Zr5 0.697 0.860 0.095
Zr6 0.797 0.975 0.405
Zr7 0.860 0.697 0.595
Zr8 0.975 0.797 0.905
Co1 0.115 0.406 0.749
Co2 0.119 0.881 0.750
Co3 0.406 0.115 0.249
Co4 0.594 0.885 0.751
Co5 0.881 0.119 0.250
Co6 0.885 0.594 0.251
Mo1 0.398 0.536 0.140
Mo2 0.464 0.602 0.360
Mo3 0.536 0.398 0.640
Mo4 0.602 0.464 0.860
N1 0.000 0.500 0.000
N2 0.183 0.658 0.500
N3 0.342 0.817 0.000
N4 0.500 0.000 0.500
N5 0.658 0.183 0.000
N6 0.817 0.342 0.500



# 21
Computed, not measured: a geometry-optimized Sc5In4Ni2 structure at the PBE-GGA level of DFT.

Values from the calculation:
Magnetic moment: 0.23 μB per formula unit
Uncorrected energy: -5.41 eV/atom
SG: Pbam (55)

Cell lengths 7.592, 17.220, 3.364 Å; angles 90.00, 90.00, 90.00 degrees
Atoms (fractional coordinates):
Sc1 0.000 0.000 0.000
Sc2 0.123 0.413 0.000
Sc3 0.248 0.721 0.000
Sc4 0.252 0.221 0.000
Sc5 0.377 0.913 0.000
Sc6 0.500 0.500 0.000
Sc7 0.623 0.087 0.000
Sc8 0.748 0.779 0.000
Sc9 0.752 0.279 0.000
Sc10 0.877 0.587 0.000
In1 0.072 0.848 0.500
In2 0.202 0.568 0.500
In3 0.298 0.068 0.500
In4 0.428 0.348 0.500
In5 0.572 0.652 0.500
In6 0.702 0.932 0.500
In7 0.798 0.432 0.500
In8 0.928 0.152 0.500
Ni1 0.038 0.305 0.500
Ni2 0.462 0.805 0.500
Ni3 0.538 0.195 0.500
Ni4 0.962 0.695 0.500



# 22
Computed, not measured: a geometry-optimized ZrTc structure at the PBE-GGA level of DFT.

Values from the calculation:
Magnetic moment: 0.00 μB per formula unit
Calculated formation energy: -0.0843 eV/atom
Uncorrected energy: -9.54 eV/atom
SG: Pmc2_1 (26)

Cell lengths 4.674, 8.334, 5.621 Å; angles 90.00, 90.00, 90.00 degrees
Atoms (fractional coordinates):
Zr1 0.000 0.025 0.000
Zr2 0.000 0.349 0.398
Zr3 0.000 0.651 0.898
Zr4 0.000 0.975 0.500
Zr5 0.500 0.208 0.708
Zr6 0.500 0.792 0.208
Tc1 0.000 0.333 0.909
Tc2 0.000 0.667 0.409
Tc3 0.500 0.145 0.218
Tc4 0.500 0.445 0.145
Tc5 0.500 0.555 0.645
Tc6 0.500 0.855 0.718